1.
Here is a relaxed structure of La2CrRu from the Alexandria database. Energies are from GGA-PBE.

Fermi-level density of states: 1.185 states/eV/atom
Energy of formation: 242 meV per atom
Spin magnetization: 0.00 μB per formula unit
Total energy: -27.786 eV per cell
Calculated density: 7.04 g/cm³

Lattice parameters (Å, degrees): 3.881 3.296 8.235 74.67 90.00 90.00
Element x y z (fractional)
1 Cr 0.500 0.745 0.671
2 La 0.000 0.974 0.914
3 La 0.500 0.259 0.340
4 Ru 0.000 0.521 0.575

---

2.
Here is a relaxed structure of TcBr from the Alexandria database. Energies are from GGA-PBE.

Fermi-level density of states: 0.523 states/eV/atom
Spin magnetization: 0.00 μB per formula unit
E_form (uncorrected): 0.6445 eV per atom
Total energy: -171.997 eV per cell
Calculated density: 6.28 g/cm³

Lattice parameters (Å, degrees): 10.023 10.112 7.431 90.00 90.00 90.00
Element x y z (fractional)
1 Tc 0.105 0.000 0.000
2 Tc 0.895 0.000 0.000
3 Tc 0.145 0.750 0.250
4 Tc 0.355 0.750 0.250
5 Tc 0.105 0.500 0.500
6 Tc 0.895 0.500 0.500
7 Tc 0.145 0.250 0.750
8 Tc 0.355 0.250 0.750
9 Tc 0.605 0.000 0.500
10 Tc 0.395 0.000 0.500
11 Tc 0.645 0.750 0.750
12 Tc 0.855 0.750 0.750
13 Tc 0.605 0.500 0.000
14 Tc 0.395 0.500 0.000
15 Tc 0.645 0.250 0.250
16 Tc 0.855 0.250 0.250
17 Br 0.000 0.662 0.000
18 Br 0.000 0.338 0.000
19 Br 0.250 0.088 0.250
20 Br 0.250 0.412 0.250
21 Br 0.000 0.162 0.500
22 Br 0.000 0.838 0.500
23 Br 0.250 0.588 0.750
24 Br 0.250 0.912 0.750
25 Br 0.500 0.662 0.500
26 Br 0.500 0.338 0.500
27 Br 0.750 0.088 0.750
28 Br 0.750 0.412 0.750
29 Br 0.500 0.162 0.000
30 Br 0.500 0.838 0.000
31 Br 0.750 0.588 0.250
32 Br 0.750 0.912 0.250

---

3.
Here is a relaxed structure of RbAs2Se4 from the Alexandria database. Energies are from GGA-PBE.

Fermi-level density of states: 0.627 states/eV/atom
Spin magnetization: 0.00 μB per formula unit
E_form (uncorrected): -0.2484 eV per atom
Total energy: -51.887 eV per cell
Calculated density: 4.91 g/cm³

Lattice parameters (Å, degrees): 3.826 6.748 15.063 90.00 90.00 106.47
Element x y z (fractional)
1 Rb 0.589 0.178 0.750
2 Rb 0.411 0.822 0.250
3 As 0.142 0.285 0.438
4 As 0.858 0.715 0.938
5 As 0.142 0.285 0.062
6 As 0.858 0.715 0.562
7 Se 0.777 0.555 0.095
8 Se 0.777 0.555 0.405
9 Se 0.223 0.445 0.905
10 Se 0.223 0.445 0.595
11 Se 0.872 0.743 0.750
12 Se 0.128 0.257 0.250
13 Se 0.500 0.000 0.000
14 Se 0.500 0.000 0.500

---

4.
Here is a relaxed structure of Rb2BeCl5 from the Alexandria database. Energies are from GGA-PBE.

Spin magnetization: 0.92 μB per formula unit
E_form (uncorrected): -1.4787 eV per atom
Total energy: -26.724 eV per cell
Calculated density: 2.20 g/cm³

Lattice parameters (Å, degrees): 6.939 7.893 6.941 115.01 118.63 99.02
Each line ends with the local moment (μB).
Element x y z (fractional)
1 Rb 0.722 0.215 0.456  0.00
2 Rb 0.201 0.724 0.423  0.00
3 Be 0.031 0.128 0.061  0.00
4 Cl 0.217 0.701 0.909  0.38
5 Cl 0.883 0.823 0.723  0.32
6 Cl 0.146 0.121 0.380  0.00
7 Cl 0.731 0.183 0.939  0.03
8 Cl 0.292 0.327 0.108  0.00

---

5.
Here is a relaxed structure of Sm2AlGa4Pt3 from the Alexandria database. Energies are from GGA-PBE.

Fermi-level density of states: 0.555 states/eV/atom
Energy of formation: -892 meV per atom
Spin magnetization: 0.00 μB per formula unit
Total energy: -52.334 eV per cell
Calculated density: 10.32 g/cm³

Lattice parameters (Å, degrees): 4.186 4.186 10.948 90.00 90.00 90.00
Element x y z (fractional)
1 Sm 0.500 0.000 0.245
2 Sm 0.000 0.500 0.755
3 Al 0.500 0.500 0.500
4 Ga 0.500 0.500 0.000
5 Ga 0.000 0.000 0.000
6 Ga 0.500 0.000 0.641
7 Ga 0.000 0.500 0.359
8 Pt 0.000 0.000 0.500
9 Pt 0.500 0.000 0.866
10 Pt 0.000 0.500 0.134

---

6.
Here is a relaxed structure of LuThMnNi from the Alexandria database. Energies are from GGA-PBE.

Fermi-level density of states: 0.997 states/eV/atom
Energy of formation: -44 meV per atom
Spin magnetization: 0.61 μB per formula unit
Total energy: -27.067 eV per cell
Calculated density: 11.07 g/cm³

Lattice parameters (Å, degrees): 4.798 4.798 4.798 60.00 60.00 60.00
Each line ends with the local moment (μB).
Element x y z (fractional)
1 Ni 0.750 0.750 0.750  0.05
2 Lu 0.000 0.000 0.000  0.20
3 Th 0.500 0.500 0.500  0.17
4 Mn 0.250 0.250 0.250  -1.17

---

7.
Here is a relaxed structure of KPrSe from the Alexandria database. Energies are from GGA-PBE.

Fermi-level density of states: 0.705 states/eV/atom
Spin magnetization: 0.00 μB per formula unit
E_form (uncorrected): -0.9430 eV per atom
Total energy: -24.381 eV per cell
Calculated density: 3.47 g/cm³

Lattice parameters (Å, degrees): 4.738 4.738 13.041 79.46 79.46 59.99
Element x y z (fractional)
1 K 0.992 0.992 0.307
2 K 0.760 0.760 0.000
3 Se 0.601 0.601 0.481
4 Se 0.152 0.152 0.826
5 Pr 0.239 0.239 0.567
6 Pr 0.514 0.514 0.741

---

8.
Here is a relaxed structure of CdSe2N2 from the Alexandria database. Energies are from GGA-PBE.

Fermi-level density of states: 0.742 states/eV/atom
Spin magnetization: 2.72 μB per formula unit
E_form (uncorrected): 2.2003 eV per atom
Total energy: -13.533 eV per cell
Calculated density: 3.88 g/cm³

Lattice parameters (Å, degrees): 5.457 5.457 4.286 90.00 90.00 90.00
Each line ends with the local moment (μB).
Element x y z (fractional)
1 N 0.500 0.500 0.500  1.78
2 N 0.000 0.000 0.500  1.19
3 Se 0.000 0.500 0.000  -0.52
4 Se 0.500 0.000 0.000  -0.52
5 Cd 0.000 0.000 0.000  0.01

---

9.
Here is a relaxed structure of PmDyBi2 from the Alexandria database. Energies are from GGA-PBE.

Fermi-level density of states: 1.206 states/eV/atom
Energy of formation: -196 meV per atom
Spin magnetization: 0.00 μB per formula unit
Total energy: -17.900 eV per cell
Calculated density: 9.28 g/cm³

Lattice parameters (Å, degrees): 3.560 3.560 12.004 81.47 81.47 60.00
Element x y z (fractional)
1 Pm 0.000 0.000 0.000
2 Bi 0.092 0.092 0.724
3 Bi 0.908 0.908 0.276
4 Dy 0.500 0.500 0.500

---

10.
Here is a relaxed structure of MnSiSe4 from the Alexandria database. Energies are from GGA-PBE.

Fermi-level density of states: 0.443 states/eV/atom
Spin magnetization: 3.00 μB per formula unit
E_form (uncorrected): -0.2500 eV per atom
Total energy: -60.062 eV per cell
Calculated density: 4.23 g/cm³

Lattice parameters (Å, degrees): 5.924 5.924 8.923 90.00 90.00 90.00
Each line ends with the local moment (μB).
Element x y z (fractional)
1 Mn 0.000 0.000 0.000  3.29
2 Mn 0.000 0.000 0.500  3.29
3 Si 0.000 0.500 0.250  0.05
4 Si 0.500 0.000 0.750  0.05
5 Se 0.277 0.241 0.890  -0.12
6 Se 0.723 0.759 0.890  -0.12
7 Se 0.241 0.277 0.390  -0.12
8 Se 0.277 0.759 0.610  -0.12
9 Se 0.723 0.241 0.610  -0.12
10 Se 0.241 0.723 0.110  -0.12
11 Se 0.759 0.277 0.110  -0.12
12 Se 0.759 0.723 0.390  -0.12

---

11.
Here is a relaxed structure of K2TiNi from the Alexandria database. Energies are from GGA-PBE.

Fermi-level density of states: 1.122 states/eV/atom
Energy of formation: 855 meV per atom
Spin magnetization: 2.11 μB per formula unit
Total energy: -24.906 eV per cell
Calculated density: 1.73 g/cm³

Lattice parameters (Å, degrees): 12.487 12.487 9.118 46.78 46.78 90.00
Each line ends with the local moment (μB).
Element x y z (fractional)
1 Ni 0.000 0.000 0.000  -0.18
2 Ni 0.750 0.250 0.500  -0.19
3 K 0.793 0.125 0.250  0.01
4 K 0.957 0.625 0.250  0.01
5 K 0.375 0.207 0.750  0.01
6 K 0.875 0.043 0.750  0.01
7 Ti 0.500 0.500 0.000  1.46
8 Ti 0.250 0.750 0.500  1.46

---

12.
Here is a relaxed structure of LaCeFeN3 from the Alexandria database. Energies are from GGA-PBE.

Fermi-level density of states: 0.427 states/eV/atom
Spin magnetization: 0.00 μB per formula unit
E_form (uncorrected): -1.0040 eV per atom
Total energy: -100.648 eV per cell
Calculated density: 6.54 g/cm³

Lattice parameters (Å, degrees): 3.495 7.385 7.480 97.38 90.00 90.00
Element x y z (fractional)
1 La 0.750 0.840 0.818
2 La 0.250 0.160 0.182
3 Ce 0.250 0.642 0.177
4 Ce 0.750 0.358 0.823
5 Fe 0.250 0.071 0.596
6 Fe 0.750 0.929 0.404
7 N 0.250 0.845 0.463
8 N 0.750 0.871 0.149
9 N 0.750 0.406 0.136
10 N 0.750 0.155 0.537
11 N 0.250 0.594 0.864
12 N 0.250 0.129 0.851